# MgScCoNi | Alexandria via LeMat-Bulk | GGA-PBE | relaxed
# **DOS at the Fermi energy**: 0.528 states/eV/atom
# **VASP energy**: -5.43 eV per atom
# **Density**: 5.28 g/cm3
data_MgScCoNi
_cell_length_a 6.173
_cell_length_b 6.173
_cell_length_c 6.173
_cell_angle_alpha 90.00
_cell_angle_beta 90.00
_cell_angle_gamma 90.00
_symmetry_space_group_name_H-M 'F -4 3 m'
_symmetry_Int_Tables_number 216
_symmetry_space_group_name_Hall 'F -4 2 3'
loop_
_atom_site_label
_atom_site_type_symbol
_atom_site_fract_x
_atom_site_fract_y
_atom_site_fract_z
Mg1 Mg 0.000 0.000 0.000
Sc1 Sc 0.000 0.000 0.500
Co1 Co 0.250 0.250 0.250
Ni1 Ni 0.250 0.250 0.750

***

# CsYPd2Se | Alexandria via LeMat-Bulk | GGA-PBE | relaxed
# **DOS at the Fermi energy**: 1.105 states/eV/atom
# **VASP energy**: -3.90 eV per atom
# **Density**: 5.92 g/cm3
data_CsYPd2Se
_cell_length_a 4.868
_cell_length_b 4.868
_cell_length_c 6.078
_cell_angle_alpha 90.00
_cell_angle_beta 90.00
_cell_angle_gamma 90.00
_symmetry_space_group_name_H-M 'P 4/m m m'
_symmetry_Int_Tables_number 123
_symmetry_space_group_name_Hall '-P 4 2'
loop_
_atom_site_label
_atom_site_type_symbol
_atom_site_fract_x
_atom_site_fract_y
_atom_site_fract_z
Cs1 Cs 0.000 0.000 0.000
Y1 Y 0.500 0.500 0.000
Pd1 Pd 0.000 0.500 0.500
Se1 Se 0.000 0.000 0.500

***

# Pm3B5C2 | Alexandria via LeMat-Bulk | GGA-PBE | relaxed
# **DOS at the Fermi energy**: 0.408 states/eV/atom
# **VASP energy**: -6.35 eV per atom
# **Density**: 6.01 g/cm3
data_Pm3B5C2
_cell_length_a 6.610
_cell_length_b 14.718
_cell_length_c 5.827
_cell_angle_alpha 90.00
_cell_angle_beta 90.00
_cell_angle_gamma 90.00
_symmetry_space_group_name_H-M 'I b a m'
_symmetry_Int_Tables_number 72
_symmetry_space_group_name_Hall '-I 2 2c'
loop_
_atom_site_label
_atom_site_type_symbol
_atom_site_fract_x
_atom_site_fract_y
_atom_site_fract_z
Pm1 Pm 0.000 0.000 0.250
Pm2 Pm 0.142 0.325 0.000
B1 B 0.000 0.184 0.250
B2 B 0.000 0.500 0.250
B3 B 0.246 0.369 0.500
C1 C 0.021 0.144 0.000